(1)
BaTa2Cd: relaxed, PBEsol.

* excess energy over the best structure of this formula in the dataset: 207 meV/atom
* total magnetization: 0.000 μB per cell
* uncorrected energy: -51.32 eV for the cell shown
* E_form: 0.697 eV/atom

a b c (Å): 9.4856 3.0098 7.1802
angles (deg): 90.00 95.25 90.00
Space group Cm (No. 8)
Symmetry-distinct sites (fractional):
Ba: 0.0000 0.0000 0.0000 [2 per cell]
Ta: 0.0187 0.5000 0.4474 [2 per cell]
Ta: 0.2813 0.5000 0.3471 [2 per cell]
Cd: 0.2452 0.0000 0.6887 [2 per cell]

(2)
BaTa2Cd: relaxed, PBEsol.

* excess energy over the best structure of this formula in the dataset: 327 meV/atom
* total magnetization: 0.000 μB per cell
* uncorrected energy: -25.18 eV for the cell shown
* E_form: 0.817 eV/atom

a b c (Å): 2.9847 5.1667 6.4917
angles (deg): 90.00 96.63 90.00
Space group P2/m (No. 10)
Symmetry-distinct sites (fractional):
Ba: 0.0000 0.0000 0.0000 [1 per cell]
Ta: 0.2893 0.5000 0.6695 [2 per cell]
Cd: 0.5000 0.0000 0.5000 [1 per cell]

(3)
BaTa2Cd: relaxed, PBEsol.

* excess energy over the best structure of this formula in the dataset: 626 meV/atom
* total magnetization: 0.002 μB per cell
* uncorrected energy: -23.99 eV for the cell shown
* E_form: 1.116 eV/atom

a b c (Å): 4.3527 4.3527 4.7817
angles (deg): 90.00 90.00 90.00
Space group P4/mmm (No. 123)
Symmetry-distinct sites (fractional):
Ba: 0.0000 0.0000 0.0000 [1 per cell]
Ta: 0.0000 0.5000 0.5000 [2 per cell]
Cd: 0.5000 0.5000 0.0000 [1 per cell]

(4)
BaTa2Cd: relaxed, PBEsol.

* excess energy over the best structure of this formula in the dataset: 0 meV/atom
* total magnetization: 0.000 μB per cell
* uncorrected energy: -52.98 eV for the cell shown
* E_form: 0.490 eV/atom

a b c (Å): 3.6041 4.8418 10.4137
angles (deg): 90.00 90.00 90.00
Space group Cmm2 (No. 35)
Symmetry-distinct sites (fractional):
Ba: 0.0000 0.0000 0.0000 [2 per cell]
Ta: 0.0000 0.0000 0.5124 [2 per cell]
Ta: 0.0000 0.5000 0.7070 [2 per cell]
Cd: 0.0000 0.5000 0.2882 [2 per cell]

(5)
BaTa2Cd: relaxed, PBEsol.

* excess energy over the best structure of this formula in the dataset: 598 meV/atom
* total magnetization: 0.000 μB per cell
* uncorrected energy: -48.19 eV for the cell shown
* E_form: 1.088 eV/atom

a b c (Å): 6.0860 10.3637 2.8701
angles (deg): 90.00 90.00 90.00
Space group Cmmm (No. 65)
Symmetry-distinct sites (fractional):
Ba: 0.0000 0.0000 0.0000 [2 per cell]
Ta: 0.2500 0.2500 0.5000 [4 per cell]
Cd: 0.0000 0.5000 0.0000 [2 per cell]

(6)
BaCd2Tc: relaxed, PBEsol.

* excess energy over the best structure of this formula in the dataset: 101 meV/atom
* total magnetization: 2.889 μB per cell
* uncorrected energy: -26.62 eV for the cell shown
* E_form: 0.625 eV/atom

a b c (Å): 4.4769 4.4769 9.2382
angles (deg): 90.00 90.00 90.00
Space group I4/mmm (No. 139)
Symmetry-distinct sites (fractional):
Ba: 0.0000 0.0000 0.0000 [2 per cell]
Cd: 0.0000 0.5000 0.2500 [4 per cell]
Tc: 0.0000 0.0000 0.5000 [2 per cell]

(7)
BaCd2Tc: relaxed, PBEsol.

* excess energy over the best structure of this formula in the dataset: 0 meV/atom
* total magnetization: 0.906 μB per cell
* uncorrected energy: -13.72 eV for the cell shown
* E_form: 0.524 eV/atom

a b c (Å): 3.5812 3.5812 7.6547
angles (deg): 90.00 90.00 90.00
Space group P4mm (No. 99)
Symmetry-distinct sites (fractional):
Ba: 0.0000 0.0000 0.0000 [1 per cell]
Cd: 0.0000 0.0000 0.5634 [1 per cell]
Cd: 0.5000 0.5000 0.3406 [1 per cell]
Tc: 0.5000 0.5000 0.7057 [1 per cell]

(8)
BaCd2Tc: relaxed, PBEsol.

* excess energy over the best structure of this formula in the dataset: 171 meV/atom
* total magnetization: 7.041 μB per cell
* uncorrected energy: -52.13 eV for the cell shown
* E_form: 0.694 eV/atom

a b c (Å): 7.2968 7.2968 7.2968
angles (deg): 90.00 90.00 90.00
Space group Fm-3m (No. 225)
Symmetry-distinct sites (fractional):
Ba: 0.0000 0.0000 0.0000 [4 per cell]
Cd: 0.2500 0.2500 0.2500 [8 per cell]
Tc: 0.0000 0.0000 0.5000 [4 per cell]

(9)
BaCd3Te: relaxed, PBEsol.

* total magnetization: 0.000 μB per cell
* uncorrected energy: -8.51 eV for the cell shown
* formation energy without anion corrections: 14.65 kJ per mole of atoms

a b c (Å): 5.6834 5.6834 5.6834
angles (deg): 90.00 90.00 90.00
Space group Pm-3m (No. 221)
Symmetry-distinct sites (fractional):
Ba: 0.0000 0.0000 0.0000 [1 per cell]
Cd: 0.0000 0.5000 0.5000 [3 per cell]
Te: 0.5000 0.5000 0.5000 [1 per cell]

(10)
BaCd2Te2: relaxed, PBEsol.

* total magnetization: 0.000 μB per cell
* uncorrected energy: -30.36 eV for the cell shown
* formation energy without anion corrections: -69.18 kJ per mole of atoms

a b c (Å): 5.5373 5.5373 10.0914
angles (deg): 90.00 90.00 90.00
Space group I4/mmm (No. 139)
Symmetry-distinct sites (fractional):
Ba: 0.0000 0.0000 0.0000 [2 per cell]
Cd: 0.0000 0.0000 0.3675 [4 per cell]
Te: 0.0000 0.5000 0.2500 [4 per cell]

(11)
BaTlCd2: relaxed, PBEsol.

* excess energy over the best structure of this formula in the dataset: 10 meV/atom
* total magnetization: 0.000 μB per cell
* uncorrected energy: -32.52 eV for the cell shown
* E_form: -0.239 eV/atom

a b c (Å): 7.6542 7.6542 7.6542
angles (deg): 90.00 90.00 90.00
Space group F-43m (No. 216)
Symmetry-distinct sites (fractional):
Ba: 0.0000 0.0000 0.0000 [4 per cell]
Tl: 0.2500 0.2500 0.2500 [4 per cell]
Cd: 0.0000 0.0000 0.5000 [4 per cell]
Cd: 0.2500 0.2500 0.7500 [4 per cell]

(12)
Ba2TlCd: relaxed, PBEsol.

* excess energy over the best structure of this formula in the dataset: 3 meV/atom
* total magnetization: 0.000 μB per cell
* uncorrected energy: -9.62 eV for the cell shown
* E_form: -0.373 eV/atom

a b c (Å): 4.1002 5.9256 5.9545
angles (deg): 90.00 90.00 90.00
Space group Pmm2 (No. 25)
Symmetry-distinct sites (fractional):
Ba: 0.0000 0.0000 0.0000 [1 per cell]
Ba: 0.0000 0.5000 0.4740 [1 per cell]
Tl: 0.5000 0.0000 0.5095 [1 per cell]
Cd: 0.5000 0.5000 0.9636 [1 per cell]

(13)
BaTlCd2: relaxed, PBEsol.

* excess energy over the best structure of this formula in the dataset: 0 meV/atom
* total magnetization: 0.000 μB per cell
* uncorrected energy: -24.50 eV for the cell shown
* E_form: -0.249 eV/atom

a b c (Å): 4.8847 4.8847 17.8233
angles (deg): 90.00 90.00 120.00
Space group R3m (No. 160, hexagonal axes)
Symmetry-distinct sites (fractional):
Ba: 0.0000 0.0000 0.0000 [3 per cell]
Tl: 0.0000 0.0000 0.2184 [3 per cell]
Cd: 0.0000 0.0000 0.4810 [3 per cell]
Cd: 0.0000 0.0000 0.7921 [3 per cell]

(14)
Ba2TlCd: relaxed, PBEsol.

* excess energy over the best structure of this formula in the dataset: 0 meV/atom
* total magnetization: 0.000 μB per cell
* uncorrected energy: -38.52 eV for the cell shown
* E_form: -0.376 eV/atom

a b c (Å): 8.3358 8.3358 8.3358
angles (deg): 90.00 90.00 90.00
Space group Fm-3m (No. 225)
Symmetry-distinct sites (fractional):
Ba: 0.2500 0.2500 0.2500 [8 per cell]
Tl: 0.0000 0.0000 0.0000 [4 per cell]
Cd: 0.0000 0.0000 0.5000 [4 per cell]

(15)
BaTlCd2: relaxed, PBEsol.

* excess energy over the best structure of this formula in the dataset: 9 meV/atom
* total magnetization: 0.000 μB per cell
* uncorrected energy: -16.27 eV for the cell shown
* E_form: -0.240 eV/atom

a b c (Å): 5.4200 5.4200 7.7085
angles (deg): 90.00 90.00 90.00
Space group I4/mmm (No. 139)
Symmetry-distinct sites (fractional):
Ba: 0.0000 0.0000 0.0000 [2 per cell]
Tl: 0.0000 0.0000 0.5000 [2 per cell]
Cd: 0.0000 0.5000 0.2500 [4 per cell]

(16)
BaTl2Cd2: relaxed, PBEsol.

* total magnetization: 0.000 μB per cell
* uncorrected energy: -22.42 eV for the cell shown
* E_form: -0.281 eV/atom

a b c (Å): 4.8387 4.8387 12.3741
angles (deg): 90.00 90.00 90.00
Space group I4/mmm (No. 139)
Symmetry-distinct sites (fractional):
Ba: 0.0000 0.0000 0.0000 [2 per cell]
Tl: 0.0000 0.0000 0.3817 [4 per cell]
Cd: 0.0000 0.5000 0.2500 [4 per cell]

(17)
BaTlCd4: relaxed, PBEsol.

* total magnetization: 0.000 μB per cell
* uncorrected energy: -42.75 eV for the cell shown
* E_form: -0.187 eV/atom

a b c (Å): 8.5961 8.5961 8.5961
angles (deg): 90.00 90.00 90.00
Space group F-43m (No. 216)
Symmetry-distinct sites (fractional):
Ba: 0.0000 0.0000 0.0000 [4 per cell]
Tl: 0.2500 0.2500 0.7500 [4 per cell]
Cd: 0.1246 0.1246 0.3754 [16 per cell]

(18)
Ba2TlCd2: relaxed, PBEsol.

* total magnetization: 0.000 μB per cell
* uncorrected energy: -21.19 eV for the cell shown
* E_form: -0.255 eV/atom

a b c (Å): 8.6054 8.6054 4.6655
angles (deg): 90.00 90.00 90.00
Space group P4/mbm (No. 127)
Symmetry-distinct sites (fractional):
Ba: 0.1821 0.3179 0.0000 [4 per cell]
Tl: 0.0000 0.0000 0.5000 [2 per cell]
Cd: 0.1185 0.6185 0.5000 [4 per cell]

(19)
Ba2TlCd: relaxed, PBEsol.

* excess energy over the best structure of this formula in the dataset: 53 meV/atom
* total magnetization: 0.000 μB per cell
* uncorrected energy: -18.83 eV for the cell shown
* E_form: -0.322 eV/atom

a b c (Å): 4.1257 5.7903 11.7977
angles (deg): 90.00 90.00 90.00
Space group Imm2 (No. 44)
Symmetry-distinct sites (fractional):
Ba: 0.0000 0.0000 0.0000 [2 per cell]
Ba: 0.0000 0.5000 0.1926 [2 per cell]
Tl: 0.0000 0.5000 0.7585 [2 per cell]
Cd: 0.0000 0.0000 0.4399 [2 per cell]

(20)
BaTlCd: relaxed, PBEsol.

* total magnetization: 0.000 μB per cell
* uncorrected energy: -7.09 eV for the cell shown
* E_form: -0.370 eV/atom

a b c (Å): 5.2019 5.2019 4.0740
angles (deg): 90.00 90.00 120.00
Space group P-6m2 (No. 187)
Symmetry-distinct sites (fractional):
Ba: 0.0000 0.0000 0.0000 [1 per cell]
Tl: 0.6667 0.3333 0.5000 [1 per cell]
Cd: 0.3333 0.6667 0.5000 [1 per cell]

(21)
Ba2TlCd: relaxed, PBEsol.

* excess energy over the best structure of this formula in the dataset: 5 meV/atom
* total magnetization: 0.000 μB per cell
* uncorrected energy: -9.61 eV for the cell shown
* E_form: -0.371 eV/atom

a b c (Å): 4.1543 4.1543 8.3840
angles (deg): 90.00 90.00 90.00
Space group P4/mmm (No. 123)
Symmetry-distinct sites (fractional):
Ba: 0.0000 0.0000 0.2481 [2 per cell]
Tl: 0.5000 0.5000 0.5000 [1 per cell]
Cd: 0.5000 0.5000 0.0000 [1 per cell]

(22)
BaCdW: relaxed, PBEsol.

* total magnetization: 0.004 μB per cell
* uncorrected energy: -28.12 eV for the cell shown
* E_form: 1.032 eV/atom

a b c (Å): 3.0350 4.1282 12.1003
angles (deg): 90.00 90.00 90.00
Space group Imm2 (No. 44)
Symmetry-distinct sites (fractional):
Ba: 0.0000 0.0000 0.0000 [2 per cell]
Cd: 0.0000 0.0000 0.7081 [2 per cell]
W: 0.0000 0.0000 0.3019 [2 per cell]

(23)
BaCdW2: relaxed, PBEsol.

* total magnetization: 0.000 μB per cell
* uncorrected energy: -49.20 eV for the cell shown
* E_form: 1.591 eV/atom

a b c (Å): 4.1735 4.1735 9.8474
angles (deg): 90.00 90.00 90.00
Space group I4/mmm (No. 139)
Symmetry-distinct sites (fractional):
Ba: 0.0000 0.0000 0.0000 [2 per cell]
Cd: 0.0000 0.0000 0.5000 [2 per cell]
W: 0.0000 0.5000 0.2500 [4 per cell]

(24)
Ba2CdW: relaxed, PBEsol.

* total magnetization: 0.001 μB per cell
* uncorrected energy: -31.93 eV for the cell shown
* E_form: 0.834 eV/atom

a b c (Å): 12.4752 3.2065 6.0356
angles (deg): 90.00 106.43 90.00
Space group Cm (No. 8)
Symmetry-distinct sites (fractional):
Ba: 0.0000 0.0000 0.0000 [2 per cell]
Ba: 0.1888 0.0000 0.6199 [2 per cell]
Cd: 0.2672 0.5000 0.1747 [2 per cell]
W: 0.4343 0.0000 0.4734 [2 per cell]

(25)
Ba2CdW: relaxed, PBEsol.

* total magnetization: 0.000 μB per cell
* uncorrected energy: -15.78 eV for the cell shown
* E_form: 0.880 eV/atom

a b c (Å): 3.1981 3.1981 10.7625
angles (deg): 90.00 90.00 90.00
Space group P4/mmm (No. 123)
Symmetry-distinct sites (fractional):
Ba: 0.0000 0.0000 0.2360 [2 per cell]
Cd: 0.5000 0.5000 0.5000 [1 per cell]
W: 0.5000 0.5000 0.0000 [1 per cell]

(26)
Ba2CdW: relaxed, PBEsol.

* total magnetization: 2.490 μB per cell
* uncorrected energy: -29.69 eV for the cell shown
* E_form: 1.114 eV/atom

a b c (Å): 9.3190 3.1519 8.5040
angles (deg): 90.00 94.87 90.00
Space group C2/m (No. 12)
Symmetry-distinct sites (fractional):
Ba: 0.2481 0.0000 0.2258 [4 per cell]
Cd: 0.0000 0.0000 0.5000 [2 per cell]
W: 0.0000 0.5000 0.0000 [2 per cell]

(27)
Ba2CdW2: relaxed, PBEsol.

* total magnetization: 0.001 μB per cell
* uncorrected energy: -58.95 eV for the cell shown
* E_form: 0.727 eV/atom

a b c (Å): 3.6260 3.6260 22.1942
angles (deg): 90.00 90.00 90.00
Space group I4/mmm (No. 139)
Symmetry-distinct sites (fractional):
Ba: 0.0000 0.0000 0.1151 [4 per cell]
Cd: 0.0000 0.0000 0.5000 [2 per cell]
W: 0.0000 0.5000 0.2500 [4 per cell]

(28)
BaYCd: relaxed, PBEsol.

* excess energy over the best structure of this formula in the dataset: 325 meV/atom
* total magnetization: 0.002 μB per cell
* uncorrected energy: -36.44 eV for the cell shown
* E_form: 0.353 eV/atom

a b c (Å): 7.4587 7.4587 7.4587
angles (deg): 90.00 90.00 90.00
Space group F-43m (No. 216)
Symmetry-distinct sites (fractional):
Ba: 0.0000 0.0000 0.0000 [4 per cell]
Y: 0.2500 0.2500 0.7500 [4 per cell]
Cd: 0.0000 0.0000 0.5000 [4 per cell]

(29)
BaYCd: relaxed, PBEsol.

* excess energy over the best structure of this formula in the dataset: 0 meV/atom
* total magnetization: 0.000 μB per cell
* uncorrected energy: -10.09 eV for the cell shown
* E_form: 0.028 eV/atom

a b c (Å): 5.3979 5.3979 4.0575
angles (deg): 90.00 90.00 120.00
Space group P-6m2 (No. 187)
Symmetry-distinct sites (fractional):
Ba: 0.0000 0.0000 0.0000 [1 per cell]
Y: 0.3333 0.6667 0.5000 [1 per cell]
Cd: 0.6667 0.3333 0.5000 [1 per cell]

(30)
Ba2ZnCd: relaxed, PBEsol.

* excess energy over the best structure of this formula in the dataset: 36 meV/atom
* total magnetization: 0.000 μB per cell
* uncorrected energy: -15.48 eV for the cell shown
* E_form: -0.166 eV/atom

a b c (Å): 12.8345 3.9399 5.7422
angles (deg): 90.00 116.47 90.00
Space group Cm (No. 8)
Symmetry-distinct sites (fractional):
Ba: 0.0000 0.0000 0.0000 [2 per cell]
Ba: 0.1890 0.0000 0.6881 [2 per cell]
Zn: 0.2509 0.5000 0.2494 [2 per cell]
Cd: 0.4149 0.0000 0.4152 [2 per cell]